1.
## Cu3PS3 (GGA-PBE)

Data for an optimized crystal structure of Cu3PS3.

Values from the calculation:
Volume in A^3/atom: 17.524
Formation energy (no corrections) in meV/atom: 148

a = 6.8964 Å, b = 6.8964 Å, c = 5.9563 Å
α = 90.00°, β = 90.00°, γ = 120.00°
Space group P6_3/mmc (No. 194)
One atom of each set of equivalent atoms:
Cu (0.2149, 0.4297, 0.2500)
P (0.3333, 0.6667, 0.7500)
S (0.1645, 0.3290, 0.7500)

---

2.
## Cu2P2S7 (GGA-PBE)

Data for an optimized crystal structure of Cu2P2S7.

Values from the calculation:
Volume in A^3/atom: 21.241
Formation energy (no corrections) in meV/atom: 44

a = 9.2073 Å, b = 9.7172 Å, c = 5.8545 Å
α = 90.00°, β = 116.86°, γ = 90.00°
Space group C2/m (No. 12)
One atom of each set of equivalent atoms:
Cu (0.0000, 0.1862, 0.0000)
P (0.1965, 0.5000, 0.3900)
S (0.0000, 0.5000, 0.5000)
S (0.0764, 0.0000, 0.2769)
S (0.2168, 0.3267, 0.2122)

---

3.
## CuSbP2S (GGA-PBE)

Data for an optimized crystal structure of CuSbP2S.

Values from the calculation:
Offset from the most stable computed form in meV per atom: 0
Volume in A^3/atom: 19.002
Formation energy (no corrections) in meV/atom: 651

a = 4.5021 Å, b = 4.5021 Å, c = 4.6876 Å
α = 90.00°, β = 90.00°, γ = 90.00°
Space group P4/mmm (No. 123)
One atom of each set of equivalent atoms:
Cu (0.0000, 0.0000, 0.0000)
Sb (0.5000, 0.5000, 0.5000)
P (0.0000, 0.5000, 0.0000)
S (0.0000, 0.0000, 0.5000)

---

4.
## CuSbPS2 (GGA-PBE)

Data for an optimized crystal structure of CuSbPS2.

Values from the calculation:
Offset from the most stable computed form in meV per atom: 0
Volume in A^3/atom: 18.951
Formation energy (no corrections) in meV/atom: 506

a = 4.5953 Å, b = 4.5953 Å, c = 4.4874 Å
α = 90.00°, β = 90.00°, γ = 90.00°
Space group P4/mmm (No. 123)
One atom of each set of equivalent atoms:
Cu (0.0000, 0.0000, 0.0000)
Sb (0.5000, 0.5000, 0.5000)
P (0.0000, 0.0000, 0.5000)
S (0.0000, 0.5000, 0.0000)

---

5.
## ScCuP2S (GGA-PBE)

Data for an optimized crystal structure of ScCuP2S.

Values from the calculation:
Offset from the most stable computed form in meV per atom: 399
Volume in A^3/atom: 23.547
Formation energy (no corrections) in meV/atom: 533

a = 4.9365 Å, b = 4.9365 Å, c = 4.8312 Å
α = 90.00°, β = 90.00°, γ = 90.00°
Space group P4/mmm (No. 123)
One atom of each set of equivalent atoms:
Sc (0.0000, 0.0000, 0.0000)
Cu (0.5000, 0.5000, 0.5000)
P (0.0000, 0.5000, 0.0000)
S (0.0000, 0.0000, 0.5000)

---

6.
## ScCuPS2 (GGA-PBE)

Data for an optimized crystal structure of ScCuPS2.

Values from the calculation:
Offset from the most stable computed form in meV per atom: 297
Volume in A^3/atom: 23.682
Formation energy (no corrections) in meV/atom: 259

a = 4.8643 Å, b = 4.8643 Å, c = 5.0044 Å
α = 90.00°, β = 90.00°, γ = 90.00°
Space group P4/mmm (No. 123)
One atom of each set of equivalent atoms:
Sc (0.0000, 0.0000, 0.0000)
Cu (0.5000, 0.5000, 0.5000)
P (0.0000, 0.0000, 0.5000)
S (0.0000, 0.5000, 0.0000)

---

7.
## ScCuP2S (GGA-PBE)

Data for an optimized crystal structure of ScCuP2S.

Values from the calculation:
Offset from the most stable computed form in meV per atom: 0
Volume in A^3/atom: 18.374
Formation energy (no corrections) in meV/atom: 134

a = 4.4292 Å, b = 4.4292 Å, c = 4.6830 Å
α = 90.00°, β = 90.00°, γ = 90.00°
Space group P4/mmm (No. 123)
One atom of each set of equivalent atoms:
Sc (0.0000, 0.0000, 0.0000)
Cu (0.5000, 0.5000, 0.5000)
P (0.0000, 0.5000, 0.5000)
S (0.5000, 0.5000, 0.0000)

---

8.
## ScCuPS2 (GGA-PBE)

Data for an optimized crystal structure of ScCuPS2.

Values from the calculation:
Offset from the most stable computed form in meV per atom: 0
Volume in A^3/atom: 18.401
Formation energy (no corrections) in meV/atom: -38

a = 4.5558 Å, b = 4.5558 Å, c = 4.4327 Å
α = 90.00°, β = 90.00°, γ = 90.00°
Space group P4/mmm (No. 123)
One atom of each set of equivalent atoms:
Sc (0.0000, 0.0000, 0.0000)
Cu (0.5000, 0.5000, 0.5000)
P (0.5000, 0.5000, 0.0000)
S (0.0000, 0.5000, 0.5000)

---

9.
## CuP2SeS (GGA-PBE)

Data for an optimized crystal structure of CuP2SeS.

Values from the calculation:
Offset from the most stable computed form in meV per atom: 0
Volume in A^3/atom: 18.375
Formation energy (no corrections) in meV/atom: 866

a = 4.5417 Å, b = 4.5417 Å, c = 4.4541 Å
α = 90.00°, β = 90.00°, γ = 90.00°
Space group P4/mmm (No. 123)
One atom of each set of equivalent atoms:
Cu (0.0000, 0.0000, 0.0000)
P (0.0000, 0.5000, 0.0000)
Se (0.5000, 0.5000, 0.5000)
S (0.0000, 0.0000, 0.5000)

---

10.
## CuSiP2S (GGA-PBE)

Data for an optimized crystal structure of CuSiP2S.

Values from the calculation:
Offset from the most stable computed form in meV per atom: 0
Volume in A^3/atom: 18.145
Formation energy (no corrections) in meV/atom: 836

a = 4.5155 Å, b = 4.5155 Å, c = 4.4496 Å
α = 90.00°, β = 90.00°, γ = 90.00°
Space group P4/mmm (No. 123)
One atom of each set of equivalent atoms:
Cu (0.0000, 0.0000, 0.0000)
Si (0.5000, 0.5000, 0.5000)
P (0.0000, 0.5000, 0.5000)
S (0.5000, 0.5000, 0.0000)

---

11.
## Cu2SnPS (GGA-PBE)

Data for an optimized crystal structure of Cu2SnPS.

Values from the calculation:
Volume in A^3/atom: 23.950
Formation energy (no corrections) in meV/atom: 1204

a = 4.8108 Å, b = 4.8108 Å, c = 5.1742 Å
α = 90.00°, β = 90.00°, γ = 90.00°
Space group P4/mmm (No. 123)
One atom of each set of equivalent atoms:
Cu (0.0000, 0.5000, 0.0000)
Sn (0.0000, 0.0000, 0.0000)
P (0.5000, 0.5000, 0.5000)
S (0.0000, 0.0000, 0.5000)

---

12.
## SrCuPS2 (GGA-PBE)

Data for an optimized crystal structure of SrCuPS2.

Values from the calculation:
Offset from the most stable computed form in meV per atom: 0
Volume in A^3/atom: 20.813
Formation energy (no corrections) in meV/atom: -384

a = 4.9030 Å, b = 4.9030 Å, c = 4.3289 Å
α = 90.00°, β = 90.00°, γ = 90.00°
Space group P4/mmm (No. 123)
One atom of each set of equivalent atoms:
Sr (0.0000, 0.0000, 0.0000)
Cu (0.5000, 0.5000, 0.5000)
P (0.5000, 0.5000, 0.0000)
S (0.0000, 0.5000, 0.5000)

---

13.
## SrCuPS4 (GGA-PBE)

Data for an optimized crystal structure of SrCuPS4.

Values from the calculation:
Volume in A^3/atom: 25.223
Formation energy (no corrections) in meV/atom: -792

a = 6.5774 Å, b = 6.5774 Å, c = 8.1623 Å
α = 90.00°, β = 90.00°, γ = 90.00°
Space group I-4 (No. 82)
One atom of each set of equivalent atoms:
Sr (0.0000, 0.0000, 0.0000)
Cu (0.0000, 0.0000, 0.5000)
P (0.0000, 0.5000, 0.2500)
S (0.1535, 0.7352, 0.3666)

---

14.
## SrCuPS2 (GGA-PBE)

Data for an optimized crystal structure of SrCuPS2.

Values from the calculation:
Offset from the most stable computed form in meV per atom: 1364
Volume in A^3/atom: 35.726
Formation energy (no corrections) in meV/atom: 980

a = 5.5727 Å, b = 5.5727 Å, c = 5.7522 Å
α = 90.00°, β = 90.00°, γ = 90.00°
Space group P4/mmm (No. 123)
One atom of each set of equivalent atoms:
Sr (0.0000, 0.0000, 0.0000)
Cu (0.5000, 0.5000, 0.5000)
P (0.0000, 0.0000, 0.5000)
S (0.0000, 0.5000, 0.0000)

---

15.
## SrCuP2S6 (GGA-PBE)

Data for an optimized crystal structure of SrCuP2S6.

Values from the calculation:
Volume in A^3/atom: 23.868
Formation energy (no corrections) in meV/atom: -514

a = 13.4094 Å, b = 10.6154 Å, c = 7.8537 Å
α = 90.00°, β = 121.35°, γ = 90.00°
Space group C2/c (No. 15)
One atom of each set of equivalent atoms:
Sr (0.0000, 0.1758, 0.2500)
Cu (0.0000, 0.2124, 0.7500)
P (0.2112, 0.4367, 0.1496)
S (0.1088, 0.0687, 0.6746)
S (0.1399, 0.2599, 0.0672)
S (0.1593, 0.4407, 0.4220)

---

16.
## SrCuP2S8 (GGA-PBE)

Data for an optimized crystal structure of SrCuP2S8.

Values from the calculation:
Volume in A^3/atom: 21.066
Formation energy (no corrections) in meV/atom: -358

a = 5.8389 Å, b = 5.8389 Å, c = 8.5618 Å
α = 90.00°, β = 90.00°, γ = 120.00°
Space group P-3 (No. 147)
One atom of each set of equivalent atoms:
Sr (0.0000, 0.0000, 0.0000)
Cu (0.0000, 0.0000, 0.5000)
P (0.3333, 0.6667, 0.7421)
S (0.0031, 0.6812, 0.3219)
S (0.3333, 0.6667, 0.9795)

---

17.
## SrCu2PS (GGA-PBE)

Data for an optimized crystal structure of SrCu2PS.

Values from the calculation:
Volume in A^3/atom: 32.566
Formation energy (no corrections) in meV/atom: 1382

a = 5.5328 Å, b = 5.5328 Å, c = 5.3193 Å
α = 90.00°, β = 90.00°, γ = 90.00°
Space group P4/mmm (No. 123)
One atom of each set of equivalent atoms:
Sr (0.0000, 0.0000, 0.0000)
Cu (0.0000, 0.5000, 0.0000)
P (0.5000, 0.5000, 0.5000)
S (0.0000, 0.0000, 0.5000)

---

18.
## TaCuPS2 (GGA-PBE)

Data for an optimized crystal structure of TaCuPS2.

Values from the calculation:
Offset from the most stable computed form in meV per atom: 545
Volume in A^3/atom: 17.055
Formation energy (no corrections) in meV/atom: 811

a = 4.3714 Å, b = 4.3714 Å, c = 4.4626 Å
α = 90.00°, β = 90.00°, γ = 90.00°
Space group P4/mmm (No. 123)
One atom of each set of equivalent atoms:
Ta (0.0000, 0.0000, 0.0000)
Cu (0.5000, 0.5000, 0.5000)
P (0.5000, 0.5000, 0.0000)
S (0.0000, 0.5000, 0.5000)

---

19.
## TaCuP2S (GGA-PBE)

Data for an optimized crystal structure of TaCuP2S.

Values from the calculation:
Offset from the most stable computed form in meV per atom: 399
Volume in A^3/atom: 16.985
Formation energy (no corrections) in meV/atom: 899

a = 4.3777 Å, b = 4.3777 Å, c = 4.4314 Å
α = 90.00°, β = 90.00°, γ = 90.00°
Space group P4/mmm (No. 123)
One atom of each set of equivalent atoms:
Ta (0.0000, 0.0000, 0.0000)
Cu (0.5000, 0.5000, 0.5000)
P (0.0000, 0.5000, 0.5000)
S (0.5000, 0.5000, 0.0000)

---

20.
## TaCuP2S (GGA-PBE)

Data for an optimized crystal structure of TaCuP2S.

Values from the calculation:
Offset from the most stable computed form in meV per atom: 0
Volume in A^3/atom: 22.047
Formation energy (no corrections) in meV/atom: 500

a = 4.8452 Å, b = 4.8452 Å, c = 4.6956 Å
α = 90.00°, β = 90.00°, γ = 90.00°
Space group P4/mmm (No. 123)
One atom of each set of equivalent atoms:
Ta (0.0000, 0.0000, 0.0000)
Cu (0.5000, 0.5000, 0.5000)
P (0.0000, 0.5000, 0.0000)
S (0.0000, 0.0000, 0.5000)